Below is ZrUSn2 after structural relaxation, with properties calculated at the GGA-PBE level.

Values from the calculation:
The calculation puts the energy relative to the lowest polymorph listed for this composition at 0.103 eV/atom. Its space-group type is R-3m (166).

Cell lengths 7.9658, 7.9658, 7.9658 Å; angles 29.51, 29.51, 29.51 degrees
Sites, in units of the cell vectors:
1 Zr 0.0000 0.0000 0.0000
2 U 0.5000 0.5000 0.5000
3 Sn 0.2559 0.2559 0.2559
4 Sn 0.7441 0.7441 0.7441